(1)
VASP calculation (PBE) on crystalline Ac3Th5Se12 at its relaxed geometry.

## Properties
* symmetry: Ia-3d
* formation energy without anion corrections: -1.4848 eV/atom
* total magnetization: 9.64 Bohr magnetons per cell
* V: 2728.8 Å³ per cell

Cell lengths 15.2474, 15.2474, 15.2474 Å; angles 109.47, 109.47, 109.47 degrees
Closest atoms and distances in Å follow each position.
Sites, in units of the cell vectors:
Se  0.5470  0.2201  0.1288  2 Th 2.79-2.95
Se  0.6730  0.4530  0.5818  2 Th 2.79-2.95
Se  0.1730  0.0818  0.9530  2 Th 2.79-2.95
Ac  0.7500  0.8750  0.6250  8 Se 3.24-3.35
Se  0.3270  0.7799  0.4087  2 Th 2.79-2.95
Se  0.4530  0.6730  0.0818  2 Th 2.79-2.95
Se  0.8270  0.9182  0.0470  2 Th 2.79-2.95
Ac  0.1250  0.2500  0.8750  8 Se 3.24-3.35
Ac  0.7500  0.3750  0.1250  8 Se 3.24-3.35
Th  0.6250  0.7500  0.8750  4 Se 2.79
Se  0.9182  0.8270  0.5470  2 Th 2.79-2.95
Se  0.2799  0.8712  0.9530  2 Th 2.79-2.95
Se  0.9530  0.5818  0.1730  2 Th 2.79-2.95
Se  0.9087  0.8270  0.7799  2 Th 2.79-2.95
Se  0.1730  0.0913  0.7201  2 Th 2.79-2.95
Th  0.7500  0.6250  0.3750  4 Se 2.79
Se  0.6730  0.2201  0.5913  2 Th 2.79-2.95
Th  0.3750  0.1250  0.7500  4 Se 2.79
Se  0.2201  0.5470  0.6288  2 Th 2.79-2.95
Se  0.9530  0.3712  0.2799  2 Th 2.79-2.95
Ac  0.3750  0.7500  0.6250  8 Se 3.24-3.35
Se  0.0470  0.6288  0.7201  2 Th 2.79-2.95
Se  0.9087  0.0818  0.6288  2 Th 2.79-2.95
Se  0.8712  0.5913  0.9182  2 Th 2.79-2.95
Se  0.5913  0.7201  0.6730  2 Th 2.79-2.95
Th  0.7500  0.1250  0.8750  4 Se 2.79
Se  0.5913  0.8712  0.4182  2 Th 2.79-2.95
Se  0.0818  0.9087  0.1288  2 Th 2.79-2.95
Se  0.3712  0.4182  0.0913  2 Th 2.79-2.95
Th  0.2500  0.8750  0.1250  4 Se 2.79
Se  0.2799  0.4087  0.8270  2 Th 2.79-2.95
Se  0.7201  0.1288  0.0470  2 Th 2.79-2.95
Se  0.4087  0.1288  0.5818  2 Th 2.79-2.95
Se  0.1288  0.4087  0.0818  2 Th 2.79-2.95
Se  0.4182  0.0470  0.3270  2 Th 2.79-2.95
Se  0.4530  0.7799  0.8712  2 Th 2.79-2.95
Se  0.4087  0.2799  0.3270  2 Th 2.79-2.95
Se  0.0818  0.1730  0.4530  2 Th 2.79-2.95
Th  0.0000  0.0000  0.0000  6 Se 2.95
Th  0.5000  0.0000  0.5000  6 Se 2.95
Th  0.8750  0.2500  0.6250  4 Se 2.79
Th  0.0000  0.5000  0.0000  6 Se 2.95
Se  0.2201  0.6730  0.0913  2 Th 2.79-2.95
Se  0.1288  0.7201  0.5470  2 Th 2.79-2.95
Th  0.0000  0.0000  0.5000  6 Se 2.95
Ac  0.2500  0.1250  0.3750  8 Se 3.24-3.35
Ac  0.8750  0.1250  0.2500  8 Se 3.24-3.35
Ac  0.8750  0.7500  0.1250  8 Se 3.24-3.35
Ac  0.3750  0.6250  0.2500  8 Se 3.24-3.35
Se  0.3270  0.5470  0.4182  2 Th 2.79-2.95
Th  0.5000  0.5000  0.5000  6 Se 2.95
Th  0.1250  0.7500  0.3750  4 Se 2.79
Th  0.0000  0.5000  0.5000  6 Se 2.95
Se  0.0470  0.4182  0.8270  2 Th 2.79-2.95
Se  0.7799  0.3270  0.9087  2 Th 2.79-2.95
Se  0.9182  0.0913  0.8712  2 Th 2.79-2.95
Ac  0.1250  0.8750  0.7500  8 Se 3.24-3.35
Ac  0.2500  0.6250  0.8750  8 Se 3.24-3.35
Se  0.5470  0.3270  0.9182  2 Th 2.79-2.95
Se  0.6288  0.0470  0.2201  2 Th 2.79-2.95
Se  0.3712  0.9530  0.7799  2 Th 2.79-2.95
Se  0.0913  0.9182  0.3712  2 Th 2.79-2.95
Ac  0.6250  0.3750  0.7500  8 Se 3.24-3.35
Se  0.8270  0.9087  0.2799  2 Th 2.79-2.95
Ac  0.6250  0.2500  0.3750  8 Se 3.24-3.35
Se  0.4182  0.3712  0.5913  2 Th 2.79-2.95
Se  0.0913  0.1730  0.2201  2 Th 2.79-2.95
Th  0.3750  0.2500  0.1250  4 Se 2.79
Se  0.8712  0.2799  0.4530  2 Th 2.79-2.95
Th  0.5000  0.0000  0.0000  6 Se 2.95
Th  0.2500  0.3750  0.6250  4 Se 2.79
Th  0.5000  0.5000  0.0000  6 Se 2.95
Th  0.8750  0.6250  0.7500  4 Se 2.79
Se  0.7799  0.4530  0.3712  2 Th 2.79-2.95
Se  0.5818  0.6288  0.4087  2 Th 2.79-2.95
Th  0.6250  0.8750  0.2500  4 Se 2.79
Th  0.1250  0.3750  0.2500  4 Se 2.79
Se  0.6288  0.5818  0.9087  2 Th 2.79-2.95
Se  0.7201  0.5913  0.1730  2 Th 2.79-2.95
Se  0.5818  0.9530  0.6730  2 Th 2.79-2.95


(2)
VASP calculation (PBE) on crystalline Ac6ThSe12 at its relaxed geometry.

## Properties
* symmetry: R-3
* formation energy without anion corrections: -1.8064 eV/atom
* total magnetization: 1.31 Bohr magnetons per cell
* V: 664.1 Å³ per cell

Cell lengths 8.8502, 8.8502, 8.8502 Å; angles 99.07, 99.07, 99.07 degrees
Closest atoms and distances in Å follow each position.
Sites, in units of the cell vectors:
Ac  0.3774  0.8633  0.7070  7 Se 3.10-3.26
Se  0.5786  0.4449  0.1780  4 Ac 3.12-3.21
Se  0.4214  0.5551  0.8220  4 Ac 3.12-3.21
Se  0.8220  0.4214  0.5551  4 Ac 3.12-3.21
Se  0.4449  0.1780  0.5786  4 Ac 3.12-3.21
Se  0.0625  0.3193  0.9551  1 Th 2.89, 2 Ac 3.10-3.14
Ac  0.2930  0.6226  0.1367  7 Se 3.10-3.26
Se  0.5551  0.8220  0.4214  4 Ac 3.12-3.21
Se  0.9375  0.6807  0.0449  1 Th 2.89, 2 Ac 3.10-3.14
Ac  0.6226  0.1367  0.2930  7 Se 3.10-3.26
Ac  0.1367  0.2930  0.6226  7 Se 3.10-3.26
Se  0.6807  0.0449  0.9375  1 Th 2.89, 2 Ac 3.10-3.14
Se  0.9551  0.0625  0.3193  1 Th 2.89, 2 Ac 3.10-3.14
Se  0.1780  0.5786  0.4449  4 Ac 3.12-3.21
Se  0.0449  0.9375  0.6807  1 Th 2.89, 2 Ac 3.10-3.14
Ac  0.8633  0.7070  0.3774  7 Se 3.10-3.26
Th  0.0000  0.0000  0.0000  6 Se 2.89
Se  0.3193  0.9551  0.0625  1 Th 2.89, 2 Ac 3.10-3.14
Ac  0.7070  0.3774  0.8633  7 Se 3.10-3.26


(3)
VASP calculation (PBE) on crystalline AcThSe3 at its relaxed geometry.

## Properties
* symmetry: Pnma
* formation energy without anion corrections: -1.8599 eV/atom
* total magnetization: 0.01 Bohr magnetons per cell
* V: 577.5 Å³ per cell
* excess energy over the best structure of this formula in the dataset: 0 meV per atom

Cell lengths 4.3292, 7.9279, 16.8254 Å; angles 90.00, 90.00, 90.00 degrees
Closest atoms and distances in Å follow each position.
Sites, in units of the cell vectors:
Se  0.2500  0.1662  0.7844  1 Th 2.99, 4 Ac 3.10-3.15
Se  0.7500  0.4922  0.9007  3 Th 3.01-3.11
Se  0.7500  0.6307  0.4364  3 Th 2.98-3.09, 2 Ac 3.14
Se  0.2500  0.6662  0.7156  1 Th 2.99, 4 Ac 3.10-3.15
Se  0.7500  0.3338  0.2844  1 Th 2.99, 4 Ac 3.10-3.15
Th  0.7500  0.2431  0.4569  7 Se 2.98-3.11
Se  0.7500  0.9922  0.5993  3 Th 3.01-3.11
Ac  0.7500  0.3796  0.6988  6 Se 3.10-3.15
Se  0.7500  0.1307  0.0636  3 Th 2.98-3.09, 2 Ac 3.14
Ac  0.2500  0.1204  0.1988  6 Se 3.10-3.15
Ac  0.7500  0.8796  0.8012  6 Se 3.10-3.15
Se  0.2500  0.3693  0.5636  3 Th 2.98-3.09, 2 Ac 3.14
Th  0.7500  0.7431  0.0431  7 Se 2.98-3.11
Th  0.2500  0.2569  0.9569  7 Se 2.98-3.11
Ac  0.2500  0.6204  0.3012  6 Se 3.10-3.15
Se  0.2500  0.5078  0.0993  3 Th 3.01-3.11
Se  0.2500  0.8693  0.9364  3 Th 2.98-3.09, 2 Ac 3.14
Se  0.2500  0.0078  0.4007  3 Th 3.01-3.11
Th  0.2500  0.7569  0.5431  7 Se 2.98-3.11
Se  0.7500  0.8338  0.2156  1 Th 2.99, 4 Ac 3.10-3.15


(4)
VASP calculation (PBE) on crystalline AcTh4Se5 at its relaxed geometry.

## Properties
* symmetry: C2/m
* formation energy without anion corrections: -1.5902 eV/atom
* total magnetization: 0.00 Bohr magnetons per cell
* V: 271.9 Å³ per cell

Cell lengths 4.2687, 7.3080, 9.5460 Å; angles 75.34, 77.08, 73.02 degrees
Closest atoms and distances in Å follow each position.
Sites, in units of the cell vectors:
Se  0.3910  0.3198  0.8982  4 Th 2.98-3.02, 2 Ac 3.10
Se  0.7987  0.0921  0.3105  5 Th 2.97-2.99, 1 Ac 3.08
Th  0.4045  0.7921  0.3989  6 Se 2.97-3.02
Se  0.0000  0.5000  0.5000  6 Th 2.97
Th  0.7985  0.6120  0.7910  6 Se 2.97-3.02
Ac  0.0000  0.0000  0.0000  6 Se 3.08-3.10
Se  0.6090  0.6802  0.1018  4 Th 2.98-3.02, 2 Ac 3.10
Th  0.5955  0.2079  0.6011  6 Se 2.97-3.02
Se  0.2013  0.9079  0.6895  5 Th 2.97-2.99, 1 Ac 3.08
Th  0.2015  0.3880  0.2090  6 Se 2.97-3.02


- What is the formula in the second record?
  Ac6ThSe12